Record 1
KTaB2O6 | GGA-PBEsol | relaxed

Values from the calculation:
* symmetry: Pmn2_1, No. 31
* raw formation energy: -249 kJ per mole of atoms

a = 7.4785 Å, b = 3.9116 Å, c = 9.3040 Å
α = 90.00°, β = 90.00°, γ = 90.00°
Last column: nearest neighbours and their distance in Å.
Atoms (fractional coordinates):
1 K 0.0000 0.0020 0.0000  5 O 2.81-2.99
2 K 0.5000 0.9980 0.5000  5 O 2.81-2.99
3 Ta 0.0000 0.3175 0.6141  6 O 1.86-2.05
4 Ta 0.5000 0.6825 0.1141  6 O 1.86-2.05
5 B 0.1653 0.5184 0.3251  3 O 1.36-1.41
6 B 0.3347 0.4816 0.8251  3 O 1.36-1.41
7 B 0.6653 0.4816 0.8251  3 O 1.36-1.41
8 B 0.8347 0.5184 0.3251  3 O 1.36-1.41
9 O 0.0000 0.5520 0.2546  2 B 1.41
10 O 0.0000 0.8428 0.6147  2 Ta 1.86-2.05
11 O 0.1816 0.3645 0.4555  1 B 1.36
12 O 0.1904 0.3448 0.7577  1 B 1.36
13 O 0.3096 0.6552 0.2577  1 B 1.36
14 O 0.3184 0.6355 0.9555  1 B 1.36
15 O 0.5000 0.1572 0.1147  2 Ta 1.86-2.05
16 O 0.5000 0.4480 0.7546  2 B 1.41
17 O 0.6816 0.6355 0.9555  1 B 1.36
18 O 0.6904 0.6552 0.2577  1 B 1.36
19 O 0.8096 0.3448 0.7577  1 B 1.36
20 O 0.8184 0.3645 0.4555  1 B 1.36



Record 2
KZn4B3O9 | GGA-PBEsol | relaxed

Values from the calculation:
* symmetry: P2/c, No. 13
* raw formation energy: -188 kJ per mole of atoms

a = 6.9376 Å, b = 5.0024 Å, c = 12.5328 Å
α = 90.00°, β = 93.31°, γ = 90.00°
Last column: nearest neighbours and their distance in Å.
Atoms (fractional coordinates):
1 K 0.0000 0.1918 0.2500  4 O 2.77-2.85
2 K 0.0000 0.8082 0.7500  4 O 2.77-2.85
3 Zn 0.2097 0.3401 0.5587  4 O 1.90-1.99
4 Zn 0.2097 0.6599 0.0587  4 O 1.90-1.99
5 Zn 0.4870 0.1478 0.1230  4 O 1.94-1.96
6 Zn 0.4870 0.8522 0.6230  4 O 1.94-1.96
7 Zn 0.5130 0.1478 0.3770  4 O 1.94-1.96
8 Zn 0.5130 0.8522 0.8770  4 O 1.94-1.96
9 Zn 0.7903 0.3401 0.9413  4 O 1.90-1.99
10 Zn 0.7903 0.6599 0.4413  4 O 1.90-1.99
11 B 0.1846 0.1449 0.9506  3 O 1.35-1.41
12 B 0.1846 0.8551 0.4506  3 O 1.35-1.41
13 B 0.5000 0.3486 0.7500  3 O 1.38
14 B 0.5000 0.6514 0.2500  3 O 1.38
15 B 0.8154 0.1449 0.5494  3 O 1.35-1.41
16 B 0.8154 0.8551 0.0494  3 O 1.35-1.41
17 O 0.0319 0.2375 0.8898  1 B 1.35
18 O 0.0319 0.7625 0.3898  1 B 1.35
19 O 0.2590 0.1128 0.4324  1 B 1.41
20 O 0.2590 0.8872 0.9324  1 B 1.41
21 O 0.2738 0.2916 0.0340  1 B 1.39
22 O 0.2738 0.7084 0.5340  1 B 1.39
23 O 0.4091 0.2109 0.6662  1 B 1.38
24 O 0.4091 0.7891 0.1662  1 B 1.38
25 O 0.5000 0.3746 0.2500  1 B 1.38
26 O 0.5000 0.6254 0.7500  1 B 1.38
27 O 0.5910 0.2109 0.8338  1 B 1.38
28 O 0.5910 0.7891 0.3338  1 B 1.38
29 O 0.7262 0.2916 0.4660  1 B 1.39
30 O 0.7262 0.7084 0.9660  1 B 1.39
31 O 0.7410 0.1128 0.0676  1 B 1.41
32 O 0.7410 0.8872 0.5676  1 B 1.41
33 O 0.9681 0.2375 0.6102  1 B 1.35
34 O 0.9681 0.7625 0.1102  1 B 1.35



Record 3
KBOs2Pd | GGA-PBEsol | relaxed

Values from the calculation:
* symmetry: P4/mmm, No. 123
* ΔE_f: 0.92 eV per atom

a = 4.1414 Å, b = 4.1414 Å, c = 4.4718 Å
α = 90.00°, β = 90.00°, γ = 90.00°
Last column: nearest neighbours and their distance in Å.
Atoms (fractional coordinates):
1 K 0.0000 0.0000 0.0000  4 Pd 2.93, 8 Os 3.05
2 B 0.5000 0.5000 0.5000  4 Os 2.07, 2 Pd 2.24
3 Os 0.0000 0.5000 0.5000  2 B 2.07
4 Os 0.5000 0.0000 0.5000  2 B 2.07
5 Pd 0.5000 0.5000 0.0000  2 B 2.24



Record 4
KBP2S | GGA-PBEsol | relaxed

Values from the calculation:
* energy above the most stable polymorph in this dataset: 2112 meV per atom
* symmetry: P4/mmm, No. 123
* raw formation energy: 256 kJ per mole of atoms

a = 5.1606 Å, b = 5.1606 Å, c = 5.1966 Å
α = 90.00°, β = 90.00°, γ = 90.00°
Last column: nearest neighbours and their distance in Å.
Atoms (fractional coordinates):
1 K 0.0000 0.0000 0.0000  4 P 2.58, 2 S 2.60
2 B 0.5000 0.5000 0.5000  4 S 3.65, 8 P 3.66
3 P 0.0000 0.5000 0.0000  2 K 2.58
4 P 0.5000 0.0000 0.0000  2 K 2.58
5 S 0.0000 0.0000 0.5000  2 K 2.60



Record 5
KBPS2 | GGA-PBEsol | relaxed

Values from the calculation:
* symmetry: P4/mmm, No. 123
* raw formation energy: 231 kJ per mole of atoms

a = 5.5045 Å, b = 5.5045 Å, c = 5.7142 Å
α = 90.00°, β = 90.00°, γ = 90.00°
Last column: nearest neighbours and their distance in Å.
Atoms (fractional coordinates):
1 K 0.0000 0.0000 0.0000  4 S 2.75, 2 P 2.86
2 B 0.5000 0.5000 0.5000  4 P 3.89, 8 S 3.97
3 P 0.0000 0.0000 0.5000  2 K 2.86
4 S 0.0000 0.5000 0.0000  2 K 2.75
5 S 0.5000 0.0000 0.0000  2 K 2.75



Record 6
KBP2S | GGA-PBEsol | relaxed

Values from the calculation:
* energy above the most stable polymorph in this dataset: 0 meV per atom
* symmetry: P4/mmm, No. 123
* raw formation energy: 52 kJ per mole of atoms

a = 4.1734 Å, b = 4.1734 Å, c = 4.8470 Å
α = 90.00°, β = 90.00°, γ = 90.00°
Last column: nearest neighbours and their distance in Å.
Atoms (fractional coordinates):
1 K 0.0000 0.0000 0.0000  4 S 2.95, 8 P 3.20
2 B 0.5000 0.5000 0.5000  4 P 2.09
3 P 0.0000 0.5000 0.5000  2 B 2.09
4 P 0.5000 0.0000 0.5000  2 B 2.09
5 S 0.5000 0.5000 0.0000  2 B 2.42



Record 7
K2BPb | GGA-PBEsol | relaxed

Values from the calculation:
* energy above the most stable polymorph in this dataset: 0 meV per atom
* symmetry: I-42d, No. 122
* ΔE_f: 0.62 eV per atom

a = 8.9949 Å, b = 8.9949 Å, c = 8.9949 Å
α = 93.70°, β = 93.70°, γ = 150.56°
Last column: nearest neighbours and their distance in Å.
Atoms (fractional coordinates):
1 K 0.3750 0.0876 0.2126  2 B 3.16
2 K 0.8376 0.6250 0.7126  2 B 3.16
3 K 0.8750 0.1624 0.7874  2 B 3.16
4 K 0.9124 0.1250 0.2874  2 B 3.16
5 B 0.0000 0.0000 0.0000  2 Pb 2.29
6 B 0.7500 0.2500 0.5000  2 Pb 2.29
7 Pb 0.2500 0.7500 0.5000  2 B 2.29
8 Pb 0.5000 0.5000 0.0000  2 B 2.29



Record 8
K2BPb | GGA-PBEsol | relaxed

Values from the calculation:
* energy above the most stable polymorph in this dataset: 468 meV per atom
* symmetry: Fm-3m, No. 225
* ΔE_f: 1.08 eV per atom

a = 5.5216 Å, b = 5.5216 Å, c = 5.5216 Å
α = 60.00°, β = 60.00°, γ = 60.00°
Last column: nearest neighbours and their distance in Å.
Atoms (fractional coordinates):
1 K 0.2500 0.2500 0.2500  4 Pb 3.38, 4 B 3.38
2 K 0.7500 0.7500 0.7500  4 Pb 3.38, 4 B 3.38
3 B 0.0000 0.0000 0.0000  8 K 3.38
4 Pb 0.5000 0.5000 0.5000  8 K 3.38



Record 9
KB2Pd | GGA-PBEsol | relaxed

Values from the calculation:
* symmetry: Fm-3m, No. 225
* ΔE_f: 1.52 eV per atom

a = 4.2479 Å, b = 4.2479 Å, c = 4.2479 Å
α = 60.00°, β = 60.00°, γ = 60.00°
Last column: nearest neighbours and their distance in Å.
Atoms (fractional coordinates):
1 K 0.0000 0.0000 0.0000  8 B 2.60
2 B 0.2500 0.2500 0.2500  4 K 2.60, 4 Pd 2.60
3 B 0.7500 0.7500 0.7500  4 K 2.60, 4 Pd 2.60
4 Pd 0.5000 0.5000 0.5000  8 B 2.60



Record 10
KB2Pt | GGA-PBEsol | relaxed

Values from the calculation:
* symmetry: I4_1/amd, No. 141
* ΔE_f: 0.24 eV per atom

a = 6.9255 Å, b = 6.9255 Å, c = 6.9255 Å
α = 134.89°, β = 134.89°, γ = 65.71°
Last column: nearest neighbours and their distance in Å.
Atoms (fractional coordinates):
1 K 0.3750 0.6250 0.7500  8 B 3.31
2 K 0.6250 0.3750 0.2500  8 B 3.31
3 B 0.0000 0.0000 0.0000  2 Pt 1.97
4 B 0.0000 0.0000 0.5000  2 Pt 1.97
5 B 0.0000 0.5000 0.0000  2 Pt 1.97
6 B 0.5000 0.0000 0.5000  2 Pt 1.97
7 Pt 0.1250 0.8750 0.2500  4 B 1.97
8 Pt 0.8750 0.1250 0.7500  4 B 1.97



Record 11
K2TaBRu | GGA-PBEsol | relaxed

Values from the calculation:
* symmetry: P4/mmm, No. 123
* ΔE_f: 2.07 eV per atom

a = 5.3736 Å, b = 5.3736 Å, c = 4.3244 Å
α = 90.00°, β = 90.00°, γ = 90.00°
Last column: nearest neighbours and their distance in Å.
Atoms (fractional coordinates):
1 K 0.0000 0.5000 0.0000  2 B 2.69
2 K 0.5000 0.0000 0.0000  2 B 2.69
3 Ta 0.0000 0.0000 0.5000  2 B 2.16
4 B 0.0000 0.0000 0.0000  2 Ta 2.16
5 Ru 0.5000 0.5000 0.5000  8 K 3.45, 4 Ta 3.80



Record 12
K3BS3 | GGA-PBEsol | relaxed

Values from the calculation:
* symmetry: P2_1/c, No. 14
* raw formation energy: -101 kJ per mole of atoms

a = 10.3228 Å, b = 6.2767 Å, c = 12.7539 Å
α = 90.00°, β = 112.12°, γ = 90.00°
Last column: nearest neighbours and their distance in Å.
Atoms (fractional coordinates):
1 K 0.0314 0.2270 0.4079  6 S 3.20-3.49, 1 B 3.47, 1 K 3.53
2 K 0.0314 0.2730 0.9079  6 S 3.20-3.49, 1 B 3.47, 1 K 3.53
3 K 0.2653 0.6680 0.8895  5 S 3.20-3.44, 1 B 3.41, 1 K 3.53
4 K 0.2653 0.8320 0.3895  5 S 3.20-3.44, 1 B 3.41, 1 K 3.53
5 K 0.4007 0.0557 0.1498  1 B 3.13, 5 S 3.20-3.49
6 K 0.4007 0.4443 0.6498  1 B 3.13, 5 S 3.20-3.49
7 K 0.5993 0.5557 0.3502  1 B 3.13, 5 S 3.20-3.49
8 K 0.5993 0.9443 0.8502  1 B 3.13, 5 S 3.20-3.49
9 K 0.7347 0.1680 0.6105  5 S 3.20-3.44, 1 B 3.41, 1 K 3.53
10 K 0.7347 0.3320 0.1105  5 S 3.20-3.44, 1 B 3.41, 1 K 3.53
11 K 0.9686 0.7270 0.0921  6 S 3.20-3.49, 1 B 3.47, 1 K 3.53
12 K 0.9686 0.7730 0.5921  6 S 3.20-3.49, 1 B 3.47, 1 K 3.53
13 B 0.2316 0.1289 0.7406  3 S 1.83-1.85
14 B 0.2316 0.3711 0.2406  3 S 1.83-1.85
15 B 0.7684 0.6289 0.7594  3 S 1.83-1.85
16 B 0.7684 0.8711 0.2594  3 S 1.83-1.85
17 S 0.0782 0.2036 0.1686  1 B 1.83
18 S 0.0782 0.2964 0.6686  1 B 1.83
19 S 0.2868 0.5748 0.1615  1 B 1.85
20 S 0.2868 0.9252 0.6615  1 B 1.85
21 S 0.3377 0.1720 0.8911  1 B 1.84
22 S 0.3377 0.3280 0.3911  1 B 1.84
23 S 0.6623 0.6720 0.6089  1 B 1.84
24 S 0.6623 0.8280 0.1089  1 B 1.84
25 S 0.7132 0.0748 0.3385  1 B 1.85
26 S 0.7132 0.4252 0.8385  1 B 1.85
27 S 0.9218 0.7036 0.3314  1 B 1.83
28 S 0.9218 0.7964 0.8314  1 B 1.83



| no. | total magnetization (μB/f.u.) |
| --- | --- |
| 1 | 0.00 |
| 2 | 0.00 |
| 3 | 0.00 |
| 4 | 0.00 |
| 5 | 4.63 |
| 6 | 0.00 |
| 7 | 0.00 |
| 8 | 0.00 |
| 9 | 0.00 |
| 10 | 0.00 |
| 11 | 1.76 |
| 12 | 0.00 |